DFT (GGA-PBE) results for an optimized crystal structure of Ba6As2Au3I.

Uncorrected formation energy (eV/atom): -0.96
SG: C2/m

a b c (Å): 4.798 9.822 10.751
angles (deg): 102.76 102.89 90.00
Element x y z (fractional)
Ba: 0.324 0.896 0.647
Ba: 0.670 0.567 0.340
Ba: 0.676 0.104 0.353
Ba: 0.009 0.273 0.018
Ba: 0.991 0.727 0.982
Ba: 0.330 0.433 0.660
As: 0.834 0.675 0.668
As: 0.166 0.325 0.332
Au: 0.500 0.500 0.000
Au: 0.841 0.168 0.682
Au: 0.159 0.832 0.318
I: 0.500 0.000 0.000

DFT (GGA-PBE) results for an optimized crystal structure of CsPdF3.

Uncorrected formation energy (eV/atom): -1.87
SG: C2/c

a b c (Å): 6.086 6.780 6.086
angles (deg): 89.96 114.26 89.94
Element x y z (fractional)
Cs: 0.335 0.901 0.399
Cs: 0.650 0.401 0.085
Pd: 0.993 0.151 0.742
Pd: 0.993 0.651 0.742
F: 0.151 0.253 0.076
F: 0.835 0.048 0.408
F: 0.327 0.753 0.900
F: 0.883 0.901 0.852
F: 0.103 0.401 0.632
F: 0.659 0.548 0.584

DFT (GGA-PBE) results for an optimized crystal structure of MgZrSc4.

Total energy (eV/atom): -5.884
SG: C2/m

a b c (Å): 4.566 7.225 5.564
angles (deg): 104.33 65.78 71.58
Element x y z (fractional)
Mg: 0.000 0.000 0.000
Zr: 0.500 0.500 0.500
Sc: 0.677 0.658 0.988
Sc: 0.323 0.342 0.012
Sc: 0.156 0.178 0.510
Sc: 0.844 0.822 0.490